Entry 1:
PBE Th2FeCuHg, optimized geometry; total magnetic moment = 0.00 μB/atom; symmetry = P2_1/m, No. 11; energy of formation from the pure elements = -0.1227 eV/atom
1.0
-3.612 1.278 -1.181
-1.362 -6.699 -3.082
-2.158 1.707 8.447
Cu Th Hg Fe
2 4 2 2
Direct
0.750 0.516 0.265
0.250 0.484 0.735
0.250 0.232 0.329
0.750 0.768 0.671
0.250 0.247 0.942
0.750 0.753 0.058
0.750 0.187 0.619
0.250 0.813 0.381
0.750 0.147 0.094
0.250 0.853 0.906



Entry 2:
PBE Ti2FeCuHg, optimized geometry; total magnetic moment = 0.48 μB/atom; symmetry = P4/mmm, No. 123; energy of formation from the pure elements = 1.6674 eV/atom
1.0
-1.700 -2.210 4.140
1.283 -4.169 -1.699
4.489 0.518 2.120
Cu Ti Fe Hg
1 2 1 1
Direct
0.500 0.500 0.500
0.500 0.000 0.000
0.000 0.000 0.500
0.000 0.500 0.000
0.000 0.000 0.000



Entry 3:
PBE Ho2FeCu, optimized geometry; total magnetic moment = 0.00 μB/atom; symmetry = P4/mmm, No. 123; energy of formation from the pure elements = -0.0695 eV/atom
1.0
-3.275 0.041 -0.619
0.531 -1.535 -2.910
-0.667 -6.162 3.128
Ho Fe Cu
2 1 1
Direct
0.000 0.000 0.766
0.000 0.000 0.234
0.500 0.500 0.000
0.500 0.500 0.500



Entry 4:
PBE Ho8FeCu2, optimized geometry; total magnetic moment = 0.00 μB/atom; symmetry = C2/m, No. 12; energy of formation from the pure elements = -0.0669 eV/atom
1.0
-1.523 4.183 -2.429
-6.224 -2.247 0.035
1.871 2.434 8.312
Ho Fe Cu
8 1 2
Direct
0.410 0.565 0.820
0.801 0.683 0.603
0.969 0.204 0.937
0.590 0.435 0.180
0.336 0.026 0.671
0.199 0.317 0.397
0.664 0.974 0.329
0.031 0.796 0.063
0.500 0.000 0.000
0.184 0.717 0.368
0.816 0.283 0.632



Entry 5:
PBE Ho2FeCu, optimized geometry; total magnetic moment = 0.21 μB/atom; symmetry = R-3m, No. 166; energy of formation from the pure elements = 0.5289 eV/atom
1.0
-3.352 0.126 -0.176
-1.679 -2.326 -1.748
-2.277 -6.049 7.008
Ho Fe Cu
2 1 1
Direct
0.100 0.100 0.700
0.900 0.900 0.300
0.500 0.500 0.500
0.000 0.000 0.000



Entry 6:
PBE HoFe4Cu, optimized geometry; total magnetic moment = 1.53 μB/atom; symmetry = F-43m, No. 216; energy of formation from the pure elements = 0.0467 eV/atom
1.0
-2.766 -4.092 -0.314
0.377 -2.944 -3.961
2.114 -4.455 0.420
Ho Fe Cu
1 4 1
Direct
0.000 0.000 0.000
0.126 0.625 0.625
0.625 0.625 0.625
0.625 0.625 0.126
0.625 0.126 0.625
0.250 0.250 0.250